[1]
PBE TeC2S2, relaxed; energy above the most stable polymorph in this dataset = 41 meV per atom; SG = P4/mbm (127); crystal system = tetragonal
1.0
-3.404 -10.343 -2.630
9.298 -4.229 4.597
-1.268 -0.190 2.390
S Te C
4 2 4
Direct
0.377 0.877 0.000
0.877 0.623 0.000
0.623 0.123 0.000
0.123 0.377 0.000
0.000 0.000 0.000
0.500 0.500 0.000
0.311 0.811 0.500
0.811 0.689 0.500
0.689 0.189 0.500
0.189 0.311 0.500

---

[2]
PBE SrGaBi2O8, relaxed; electronic total energy = -5.518 eV per atom; SG = P2/m (10); crystal system = monoclinic
1.0
-0.811 -4.604 1.875
-1.142 -2.117 -4.461
6.632 -1.558 -0.958
Sr Ga Bi O
1 1 2 8
Direct
0.000 0.000 0.500
0.000 0.000 0.000
0.500 0.500 0.756
0.500 0.500 0.244
0.182 0.794 0.209
0.692 0.711 0.000
0.818 0.206 0.209
0.818 0.206 0.791
0.308 0.289 0.000
0.182 0.794 0.791
0.659 0.689 0.500
0.341 0.311 0.500